DFT (GGA-PBE) results for InSi2Te after structural relaxation.

Unit cell a=7.032 b=7.032 c=7.032 alpha=90.00 beta=90.00 gamma=90.00
Space group Fm-3m (No. 225)
Unique sites:
In  0.000  0.000  0.000 [4 per cell]
Si  0.250  0.250  0.250 [8 per cell]
Te  0.000  0.000  0.500 [4 per cell]

total energy = -57.92 eV per cell
formation energy without anion corrections = 0.5615 eV/atom
energy relative to the lowest polymorph listed for this composition = 382 meV per atom

=====

DFT (GGA-PBE) results for GeP after structural relaxation.

Unit cell a=6.874 b=6.874 c=6.874 alpha=90.00 beta=90.00 gamma=90.00
Space group Pm-3n (No. 223)
Unique sites:
Ge  0.000  0.250  0.500 [6 per cell]
P  0.000  0.500  0.250 [6 per cell]

total energy = -56.63 eV per cell
DFT formation energy = 0.295 eV/atom

=====

no.,N(E_F) (states/eV per cell)
1,7.0
2,8.5